# 1
## ZrPb2Au (PBE-GGA)

Data for ZrPb2Au after structural relaxation.

Computed properties:
Offset from the most stable computed form, meV/atom: 358
V, Å³/atom: 24.29
Spin magnetization, μB/f.u.: 0.7
Calculated formation energy, meV/atom: 181.3

Unit cell a=5.1601 b=5.1601 c=5.1601 alpha=60.00 beta=60.00 gamma=60.00
Last column: magnetic moment on the atom in μB.
Positions (direct):
Pb 0.2500 0.2500 0.2500  0.03
Pb 0.7500 0.7500 0.7500  0.03
Au 0.5000 0.5000 0.5000  0.00
Zr 0.0000 0.0000 0.0000  0.38

# 2
## Pr4Ga16Ru3 (PBE-GGA)

Data for Pr4Ga16Ru3 after structural relaxation.

Computed properties:
V, Å³/atom: 19.42
Spin magnetization, μB/f.u.: 0.0
Calculated formation energy, meV/atom: -538.7

Unit cell a=6.2231 b=6.2231 c=11.5345 alpha=90.00 beta=90.00 gamma=90.00
Positions (direct):
Pr 0.5000 0.0000 0.8072
Pr 0.0000 0.5000 0.1928
Pr 0.0000 0.5000 0.8072
Pr 0.5000 0.0000 0.1928
Ga 0.0000 0.0000 0.7799
Ga 0.2858 0.2858 0.0000
Ga 0.5000 0.5000 0.8009
Ga 0.7142 0.2858 0.0000
Ga 0.5000 0.5000 0.1991
Ga 0.7142 0.7142 0.0000
Ga 0.0000 0.0000 0.2201
Ga 0.7526 0.7526 0.6155
Ga 0.7526 0.2474 0.3845
Ga 0.2474 0.2474 0.6155
Ga 0.2474 0.7526 0.3845
Ga 0.2858 0.7142 0.0000
Ga 0.7526 0.7526 0.3845
Ga 0.7526 0.2474 0.6155
Ga 0.2474 0.2474 0.3845
Ga 0.2474 0.7526 0.6155
Ru 0.0000 0.5000 0.5000
Ru 0.0000 0.0000 0.0000
Ru 0.5000 0.0000 0.5000

# 3
## Hg3HOs (PBE-GGA)

Data for Hg3HOs after structural relaxation.

Computed properties:
Offset from the most stable computed form, meV/atom: 0
V, Å³/atom: 16.26
Spin magnetization, μB/f.u.: 0.0

Unit cell a=4.3321 b=4.3321 c=4.3321 alpha=90.00 beta=90.00 gamma=90.00
Positions (direct):
H 0.0000 0.0000 0.0000
Os 0.5000 0.5000 0.5000
Hg 0.0000 0.5000 0.0000
Hg 0.0000 0.0000 0.5000
Hg 0.5000 0.0000 0.0000

# 4
## LiMgNb (PBE-GGA)

Data for LiMgNb after structural relaxation.

Computed properties:
Offset from the most stable computed form, meV/atom: 0
V, Å³/atom: 19.38
Spin magnetization, μB/f.u.: 0.0
Calculated formation energy, meV/atom: 164.8

Unit cell a=3.0188 b=3.9450 c=9.7650 alpha=90.00 beta=90.19 gamma=90.00
Positions (direct):
Nb 0.2514 0.2500 0.0710
Nb 0.7486 0.7500 0.9290
Mg 0.2462 0.2500 0.7463
Mg 0.7538 0.7500 0.2537
Li 0.2534 0.2500 0.4150
Li 0.7466 0.7500 0.5850

# 5
## BaRhW2S8 (PBE-GGA)

Data for BaRhW2S8 after structural relaxation.

Computed properties:
Formation energy (no corrections), meV/atom: -671
V, Å³/atom: 23.94
Spin magnetization, μB/f.u.: 0.0

Unit cell a=6.1423 b=6.1423 c=8.7909 alpha=90.00 beta=90.00 gamma=120.00
Positions (direct):
Ba 0.0000 0.0000 0.0000
Rh 0.0000 0.0000 0.5000
W 0.6667 0.3333 0.2592
W 0.3333 0.6667 0.7408
S 0.3333 0.6667 0.9916
S 0.3120 0.3147 0.3348
S 0.6853 0.9974 0.3348
S 0.6667 0.3333 0.0084
S 0.3147 0.0026 0.6652
S 0.6880 0.6853 0.6652
S 0.9974 0.3120 0.6652
S 0.0026 0.6880 0.3348